Record 1
## Rb2CuMoRu (PBEsol)

Data for a geometry-optimized Rb2CuMoRu structure.

The structure in POSCAR format:
```
Rb2CuMoRu
1.0
-4.086 1.067 2.149
1.114 -4.616 4.409
3.086 4.307 3.729
Ru Mo Cu Rb
1 1 1 2
Cartesian
0.057 0.379 5.144
0.000 0.000 0.000
-2.043 0.534 1.075
1.543 2.153 1.865
0.557 -2.308 2.204
```

Properties
* SG: No. 123
* DFT total energy: -3.212 eV per atom
* energy of formation from the pure elements: 12.264 eV/f.u.

---

Record 2
## CuReMo2 (PBEsol)

Data for a geometry-optimized CuReMo2 structure.

The structure in POSCAR format:
```
CuReMo2
1.0
2.716 0.000 0.000
1.358 2.352 0.000
1.358 0.784 9.067
Cu Mo Re
1 2 1
Cartesian
1.358 0.784 2.299
4.074 2.352 0.072
4.074 2.352 6.743
2.716 1.568 4.487
```

Properties
* SG: No. 160
* distance to the lowest polymorph of the same formula: 43 kJ/mol of formula units
* DFT total energy: -9.950 eV per atom
* energy of formation from the pure elements: 1.404 eV/f.u.

---

Record 3
## CuReMo2 (PBEsol)

Data for a geometry-optimized CuReMo2 structure.

The structure in POSCAR format:
```
CuReMo2
1.0
-1.321 -2.025 2.199
2.426 -3.086 -1.385
2.411 3.639 2.371
Cu Mo Re
1 2 1
Cartesian
1.213 -1.543 -0.692
2.093 -1.992 1.851
1.423 0.520 1.334
-0.660 -1.012 1.099
```

Properties
* SG: No. 71
* distance to the lowest polymorph of the same formula: 6 kJ/mol of formula units
* DFT total energy: -10.045 eV per atom
* energy of formation from the pure elements: 1.020 eV/f.u.

---

Record 4
## Cu2ReMo (PBEsol)

Data for a geometry-optimized Cu2ReMo structure.

The structure in POSCAR format:
```
Cu2ReMo
1.0
3.740 0.000 0.000
0.000 3.740 0.000
-1.870 -1.870 3.779
Cu Mo Re
2 1 1
Cartesian
0.000 0.000 0.000
1.870 0.000 1.889
1.870 1.870 0.000
0.000 1.870 1.889
```

Properties
* SG: No. 119
* DFT total energy: -8.184 eV per atom
* energy of formation from the pure elements: 1.033 eV/f.u.

---

Record 5
## CuReMo (PBEsol)

Data for a geometry-optimized CuReMo structure.

The structure in POSCAR format:
```
CuReMo
1.0
4.027 0.000 0.000
2.013 3.487 0.000
2.013 1.162 3.288
Cu Mo Re
1 1 1
Cartesian
2.013 1.162 0.822
0.000 0.000 0.000
4.027 2.325 1.644
```

Properties
* SG: No. 216
* distance to the lowest polymorph of the same formula: 212 kJ/mol of formula units
* DFT total energy: -8.754 eV per atom
* energy of formation from the pure elements: 3.172 eV/f.u.

---

Record 6
## CuReMo2 (PBEsol)

Data for a geometry-optimized CuReMo2 structure.

The structure in POSCAR format:
```
CuReMo2
1.0
-2.021 2.211 1.128
-1.202 0.401 -2.940
-3.766 -3.953 1.000
Cu Mo Re
1 2 1
Cartesian
-3.494 -0.670 -0.405
-2.771 -2.908 0.736
-0.995 -1.044 0.264
-1.612 1.306 -0.906
```

Properties
* SG: No. 123
* distance to the lowest polymorph of the same formula: 0 kJ/mol of formula units
* DFT total energy: -10.061 eV per atom
* energy of formation from the pure elements: 0.956 eV/f.u.

---

Record 7
## CuReMo (PBEsol)

Data for a geometry-optimized CuReMo structure.

The structure in POSCAR format:
```
CuReMo
1.0
-2.158 -1.570 -0.351
2.150 -0.942 1.317
-2.579 2.244 5.814
Cu Mo Re
1 1 1
Cartesian
-0.007 0.006 0.015
-2.449 0.142 4.100
-0.131 -0.416 2.666
```

Properties
* SG: No. 156
* distance to the lowest polymorph of the same formula: 0 kJ/mol of formula units
* DFT total energy: -9.487 eV per atom
* energy of formation from the pure elements: 0.974 eV/f.u.

---

Record 8
## CuMo3Rh (PBEsol)

Data for a geometry-optimized CuMo3Rh structure.

The structure in POSCAR format:
```
CuMo3Rh
1.0
4.387 0.000 0.000
0.000 4.387 0.000
0.000 0.000 4.387
Mo Rh Cu
3 1 1
Cartesian
0.000 2.193 0.000
0.000 0.000 2.193
2.193 0.000 0.000
2.193 2.193 2.193
0.000 0.000 0.000
```

Properties
* SG: No. 221
* DFT total energy: -7.853 eV per atom
* energy of formation from the pure elements: 8.511 eV/f.u.

---

Record 9
## CuMoRh (PBEsol)

Data for a geometry-optimized CuMoRh structure.

The structure in POSCAR format:
```
CuMoRh
1.0
-0.718 2.440 -0.660
-1.109 -1.360 -3.820
-2.813 0.017 3.124
Cu Mo Rh
1 1 1
Cartesian
-0.120 0.407 -0.110
-2.724 1.184 0.369
-1.797 -0.494 -1.616
```

Properties
* SG: No. 187
* distance to the lowest polymorph of the same formula: 26 kJ/mol of formula units
* DFT total energy: -8.043 eV per atom
* energy of formation from the pure elements: 0.113 eV/f.u.

---

Record 10
## CuMoRh (PBEsol)

Data for a geometry-optimized CuMoRh structure.

The structure in POSCAR format:
```
CuMoRh
1.0
-2.409 0.661 1.050
-1.254 -3.467 -0.695
3.065 0.243 3.383
Mo Rh Cu
1 1 1
Cartesian
-1.422 -1.788 1.358
0.825 -0.776 2.382
-0.599 -2.562 3.735
```

Properties
* SG: No. 44
* distance to the lowest polymorph of the same formula: 0 kJ/mol of formula units
* DFT total energy: -8.131 eV per atom
* energy of formation from the pure elements: -0.153 eV/f.u.

---

Record 11
## CuMoRu2 (PBEsol)

Data for a geometry-optimized CuMoRu2 structure.

The structure in POSCAR format:
```
CuMoRu2
1.0
4.239 0.000 0.000
2.119 3.671 0.000
2.119 1.224 3.461
Ru Mo Cu
2 1 1
Cartesian
2.119 1.224 0.865
6.358 3.671 2.596
4.239 2.447 1.730
0.000 0.000 0.000
```

Properties
* SG: No. 225
* distance to the lowest polymorph of the same formula: 2 kJ/mol of formula units
* DFT total energy: -8.947 eV per atom
* energy of formation from the pure elements: 0.658 eV/f.u.

---

Record 12
## CuMoRu3 (PBEsol)

Data for a geometry-optimized CuMoRu3 structure.

The structure in POSCAR format:
```
CuMoRu3
1.0
4.292 0.000 0.000
0.000 4.292 0.000
0.000 0.000 4.292
Ru Mo Cu
3 1 1
Cartesian
0.000 2.146 0.000
0.000 0.000 2.146
2.146 0.000 0.000
2.146 2.146 2.146
0.000 0.000 0.000
```

Properties
* SG: No. 221
* DFT total energy: -7.584 eV per atom
* energy of formation from the pure elements: 8.697 eV/f.u.

---

Record 13
## Cu2MoRu (PBEsol)

Data for a geometry-optimized Cu2MoRu structure.

The structure in POSCAR format:
```
Cu2MoRu
1.0
-2.004 -0.770 -3.016
3.022 0.378 -2.105
0.246 -3.444 2.989
Cu Mo Ru
2 1 1
Cartesian
0.000 0.000 0.000
-0.625 -2.205 -1.293
0.509 -0.196 -2.560
1.888 -1.631 -0.838
```

Properties
* SG: No. 119
* DFT total energy: -7.495 eV per atom
* energy of formation from the pure elements: 0.627 eV/f.u.

---

Record 14
## Cu2MoRu (PBEsol)

Data for a geometry-optimized Cu2MoRu structure.

The structure in POSCAR format:
```
Cu2MoRu
1.0
4.200 0.000 0.000
2.100 3.638 0.000
2.100 1.213 3.430
Cu Mo Ru
2 1 1
Cartesian
0.000 0.000 0.000
6.301 3.638 2.572
4.200 2.425 1.715
2.100 1.213 0.857
```

Properties
* SG: No. 216
* DFT total energy: -7.342 eV per atom
* energy of formation from the pure elements: 1.241 eV/f.u.

---

Record 15
## CuMoRu2 (PBEsol)

Data for a geometry-optimized CuMoRu2 structure.

The structure in POSCAR format:
```
CuMoRu2
1.0
3.093 0.000 0.000
0.000 3.093 0.000
0.000 0.000 5.623
Cu Mo Ru
1 1 2
Cartesian
1.546 1.546 0.000
1.546 1.546 2.811
0.000 0.000 4.276
0.000 0.000 1.347
```

Properties
* SG: No. 123
* distance to the lowest polymorph of the same formula: 0 kJ/mol of formula units
* DFT total energy: -8.951 eV per atom
* energy of formation from the pure elements: 0.642 eV/f.u.

---

Record 16
## CuMo2RuSe (PBEsol)

Data for a geometry-optimized CuMo2RuSe structure.

The structure in POSCAR format:
```
CuMo2RuSe
1.0
-0.400 1.247 4.012
-4.530 -0.017 -0.446
-0.115 -4.349 1.340
Ru Mo Cu Se
1 2 1 1
Cartesian
-2.523 -1.559 2.453
-0.058 -2.174 0.670
-2.265 -0.009 -0.223
-0.200 0.624 2.006
0.000 0.000 0.000
```

Properties
* SG: No. 123
* formation energy (no corrections): 1.4229 eV per atom
* DFT total energy: -6.956 eV per atom

---

Record 17
## CuMo3S (PBEsol)

Data for a geometry-optimized CuMo3S structure.

The structure in POSCAR format:
```
CuMo3S
1.0
4.468 0.000 0.000
0.000 4.468 0.000
0.000 0.000 4.468
Mo S Cu
3 1 1
Cartesian
0.000 2.234 0.000
0.000 0.000 2.234
2.234 0.000 0.000
2.234 2.234 2.234
0.000 0.000 0.000
```

Properties
* SG: No. 221
* formation energy (no corrections): 1.8833 eV per atom
* DFT total energy: -6.921 eV per atom

---

Record 18
## CuSb3Mo (PBEsol)

Data for a geometry-optimized CuSb3Mo structure.

The structure in POSCAR format:
```
CuSb3Mo
1.0
-1.344 4.057 -2.485
-3.796 -2.471 -1.981
-2.867 1.370 3.787
Sb Mo Cu
3 1 1
Cartesian
-1.898 -1.235 -0.990
-1.434 0.685 1.893
-0.672 2.028 -1.242
-4.004 1.478 -0.339
0.000 0.000 0.000
```

Properties
* SG: No. 221
* formation energy (no corrections): 1.0581 eV per atom
* DFT total energy: -4.897 eV per atom

---

Record 19
## CuSb2Mo (PBEsol)

Data for a geometry-optimized CuSb2Mo structure.

The structure in POSCAR format:
```
CuSb2Mo
1.0
3.643 0.000 0.000
0.000 3.643 0.000
0.000 0.000 5.532
Cu Mo Sb
1 1 2
Cartesian
0.000 0.000 2.595
1.821 1.821 4.304
0.000 0.000 5.268
1.821 1.821 1.664
```

Properties
* SG: No. 99
* formation energy (no corrections): 0.2591 eV per atom
* DFT total energy: -6.045 eV per atom

---

Record 20
## CuSbMo (PBEsol)

Data for a geometry-optimized CuSbMo structure.

The structure in POSCAR format:
```
CuSbMo
1.0
3.321 0.000 0.000
0.000 3.321 0.000
-1.661 -1.661 4.357
Cu Mo Sb
1 1 1
Cartesian
1.661 1.661 4.343
0.000 0.000 2.936
1.661 1.661 1.434
```

Properties
* SG: No. 107
* formation energy (no corrections): 0.3261 eV per atom
* DFT total energy: -6.560 eV per atom